Record 1
CaCu2SiPt, relaxed, DFT PBE; energy = -4.820 eV/atom; SG = Imm2, No. 44; mass density = 7627 kg/m3
1.0
-1.996 2.048 5.197
1.996 -2.048 5.197
1.996 2.048 -5.197
Ca Cu Si Pt
1 2 1 1
direct
0.000 0.000 0.000 Ca
0.601 0.601 0.000 Cu
0.753 0.253 0.500 Cu
0.377 0.377 0.000 Si
0.253 0.753 0.500 Pt



Record 2
TiMnBeCd2, relaxed, DFT PBE; E_form = 9.05 eV/f.u.; energy = -2.715 eV/atom; SG = P4/mmm, No. 123; mass density = 4809 kg/m3
1.0
5.186 0.000 0.000
0.000 5.186 0.000
0.000 0.000 4.322
Ti Mn Be Cd
1 1 1 2
direct
0.000 0.000 0.000 Ti
0.500 0.500 0.500 Mn
0.000 0.000 0.500 Be
0.000 0.500 0.000 Cd
0.500 0.000 0.000 Cd